Version w
GGA-PBE AcPmTl, optimized geometry; calculated density = 8.53 g cm⁻³
1.0
-2.5777 3.0448 7.1498
2.5777 -3.0448 7.1498
2.5777 3.0448 -7.1498
Ac Pm Tl
2 2 2
Direct
0.3474 0.0974 0.2500 Ac
0.6526 0.9026 0.7500 Ac
0.0510 0.8010 0.2500 Pm
0.9490 0.1990 0.7500 Pm
0.1808 0.4308 0.7500 Tl
0.8192 0.5692 0.2500 Tl



Version x
GGA-PBE AcPmTl, optimized geometry; calculated density = 8.16 g cm⁻³
1.0
0.0000 3.8849 3.8849
3.8849 0.0000 3.8849
3.8849 3.8849 0.0000
Ac Pm Tl
1 1 1
Direct
0.0000 0.0000 0.0000 Ac
0.5000 0.5000 0.5000 Pm
0.2500 0.2500 0.2500 Tl



Version y
GGA-PBE AcPmTl, optimized geometry; calculated density = 8.99 g cm⁻³
1.0
5.5114 0.0000 0.0000
-2.7557 4.7730 0.0000
0.0000 0.0000 4.0486
Ac Pm Tl
1 1 1
Direct
0.0000 0.0000 0.0000 Ac
0.3333 0.6667 0.5267 Pm
0.6667 0.3333 0.4429 Tl



Of them, version y has the highest stability.